# PBE KAlPb2, relaxed
data_KAlPb2
_cell_length_a 4.998
_cell_length_b 4.998
_cell_length_c 4.713
_cell_angle_alpha 90.00
_cell_angle_beta 90.00
_cell_angle_gamma 90.00
_space_group_name_H-M_alt 'P 4/m m m'
_space_group_IT_number 123
_space_group_name_Hall '-P 4 2'
loop_
_atom_site_label
_atom_site_type_symbol
_atom_site_fract_x
_atom_site_fract_y
_atom_site_fract_z
_atom_site_occupancy
K1 K 0.000 0.000 0.000 1
Al1 Al 0.500 0.500 0.000 1
Pb1 Pb 0.000 0.500 0.500 1
# Total moment = 0.00 μB per atom
# N(E_F) = 2.995 states/eV/cell
# Formation enthalpy at 0 K = 164 meV/atom